(1)
A crystal of ScIn2Os relaxed with PBEsol, computed with SCAN.

a b c (Å): 3.2540 4.8917 5.6164
angles (deg): 115.82 106.84 90.00
Last column: nearest neighbours and their distance in Å.
Sites, in units of the cell vectors:
In 0.2305 0.2305 0.4611  2 Os 2.74, 4 In 2.96, 2 Sc 3.05
Sc 0.0000 0.5000 0.0000  4 Os 2.94, 4 In 3.05, 2 Sc 3.25
In 0.7695 0.7695 0.5389  2 Os 2.74, 4 In 2.96, 2 Sc 3.05
Os 0.5000 0.0000 0.0000  4 In 2.74, 4 Sc 2.94

Values from the calculation:
SG: Immm, No. 71
Formation energy from the elements in eV per atom: -0.044
ρ in kg/m³: 10130

***

(2)
A crystal of InOsSe relaxed with PBEsol, computed with SCAN.

a b c (Å): 2.9805 2.9805 6.9074
angles (deg): 102.46 102.46 90.00
Last column: nearest neighbours and their distance in Å.
Sites, in units of the cell vectors:
In 0.0208 0.0208 0.0416  4 In 2.98, 4 Os 3.05
Se 0.2905 0.2905 0.5810  4 Os 2.50
Os 0.6887 0.6887 0.3775  4 Se 2.50

Values from the calculation:
SG: I4mm, No. 107
ρ in kg/m³: 10913
E_form (uncorrected) in eV per atom: 0.34

***

(3)
A crystal of InOsSe3 relaxed with PBEsol, computed with SCAN.

a b c (Å): 5.0853 5.0853 5.0853
angles (deg): 90.00 90.00 90.00
Last column: nearest neighbours and their distance in Å.
Sites, in units of the cell vectors:
Se 0.0000 0.5000 0.0000  2 In 2.54
Se 0.5000 0.0000 0.0000  2 In 2.54
Se 0.0000 0.0000 0.5000  2 In 2.54
Os 0.5000 0.5000 0.5000  12 Se 3.60
In 0.0000 0.0000 0.0000  6 Se 2.54

Values from the calculation:
SG: Pm-3m, No. 221
ρ in kg/m³: 6843
E_form (uncorrected) in eV per atom: 1.63

***

(4)
A crystal of InOsSe2 relaxed with PBEsol, computed with SCAN.

a b c (Å): 3.3844 4.2912 5.7946
angles (deg): 111.59 106.81 90.45
Last column: nearest neighbours and their distance in Å.
Sites, in units of the cell vectors:
Os 0.5000 0.5000 0.0000  4 In 2.72-2.74, 4 Se 2.90
Se 0.5000 0.5000 0.5000  4 Se 2.72-2.74, 2 Os 2.90, 2 In 2.90
In 0.0000 0.0000 0.0000  4 Os 2.72-2.74, 4 Se 2.90
Se 0.0000 0.0000 0.5000  4 Se 2.72-2.74, 2 Os 2.90, 2 In 2.90

Values from the calculation:
SG: C2/m, No. 12
ρ in kg/m³: 10348
E_form (uncorrected) in eV per atom: 0.77